Entry 1:
Material: Tb3Ni2Ir7
Method: DFT, PBE
State: optimized geometry

## Properties
- E_tot (eV/atom) = -7.913
- symmetry = R-3m
- formation energy (meV per atom) = -623

Unit cell a=9.013 b=9.013 c=9.013 alpha=34.17 beta=34.17 gamma=34.17
Fractional coordinates of all 12 atoms:
Tb 0.000 0.000 0.000
Tb 0.140 0.140 0.140
Tb 0.860 0.860 0.860
Ni 0.333 0.333 0.333
Ni 0.667 0.667 0.667
Ir 0.078 0.581 0.581
Ir 0.419 0.419 0.922
Ir 0.419 0.922 0.419
Ir 0.500 0.500 0.500
Ir 0.581 0.078 0.581
Ir 0.581 0.581 0.078
Ir 0.922 0.419 0.419


Entry 2:
Material: Tb6NiIr5
Method: DFT, PBE
State: optimized geometry

## Properties
- E_tot (eV/atom) = -7.218
- symmetry = Cmmm
- formation energy (meV per atom) = -729

Unit cell a=7.583 b=7.583 c=7.076 alpha=90.00 beta=90.00 gamma=143.15
Fractional coordinates of all 12 atoms:
Tb 0.000 0.000 0.250
Tb 0.000 0.000 0.750
Tb 0.333 0.667 0.249
Tb 0.333 0.667 0.751
Tb 0.667 0.333 0.249
Tb 0.667 0.333 0.751
Ni 0.500 0.500 0.000
Ir 0.164 0.836 0.000
Ir 0.168 0.832 0.500
Ir 0.500 0.500 0.500
Ir 0.832 0.168 0.500
Ir 0.836 0.164 0.000


Entry 3:
Material: Tb4Ni3Ir
Method: DFT, PBE
State: optimized geometry

## Properties
- E_tot (eV/atom) = -6.131
- symmetry = Pmm2
- formation energy (meV per atom) = -540

Unit cell a=3.787 b=4.224 c=10.354 alpha=90.00 beta=90.00 gamma=90.00
Fractional coordinates of all 8 atoms:
Tb 0.000 0.000 0.000
Tb 0.000 0.500 0.278
Tb 0.500 0.000 0.498
Tb 0.500 0.500 0.782
Ni 0.000 0.500 0.559
Ni 0.500 0.000 0.210
Ni 0.500 0.500 0.073
Ir 0.000 0.000 0.716


Entry 4:
Material: Tb3NiIr
Method: DFT, PBE
State: optimized geometry

## Properties
- E_tot (eV/atom) = -6.217
- symmetry = Pmmn
- formation energy (meV per atom) = -510

Unit cell a=3.986 b=9.107 c=6.438 alpha=90.00 beta=90.00 gamma=90.00
Fractional coordinates of all 10 atoms:
Tb 0.250 0.059 0.229
Tb 0.250 0.250 0.717
Tb 0.250 0.441 0.229
Tb 0.750 0.559 0.771
Tb 0.750 0.750 0.283
Tb 0.750 0.941 0.771
Ni 0.250 0.750 0.576
Ni 0.750 0.250 0.424
Ir 0.250 0.750 0.976
Ir 0.750 0.250 0.024


Entry 5:
Material: Tb3Ni2Ir
Method: DFT, PBE
State: optimized geometry

## Properties
- E_tot (eV/atom) = -6.215
- symmetry = Pnma
- formation energy (meV per atom) = -496

Unit cell a=11.257 b=4.063 c=11.337 alpha=90.00 beta=90.00 gamma=90.00
Fractional coordinates of all 24 atoms:
Tb 0.055 0.250 0.122
Tb 0.119 0.750 0.558
Tb 0.208 0.250 0.803
Tb 0.292 0.750 0.303
Tb 0.381 0.250 0.058
Tb 0.445 0.750 0.622
Tb 0.555 0.250 0.378
Tb 0.619 0.750 0.942
Tb 0.708 0.250 0.697
Tb 0.792 0.750 0.197
Tb 0.881 0.250 0.442
Tb 0.945 0.750 0.878
Ni 0.017 0.750 0.304
Ni 0.185 0.750 0.997
Ni 0.315 0.250 0.497
Ni 0.483 0.250 0.804
Ni 0.517 0.750 0.196
Ni 0.685 0.750 0.503
Ni 0.815 0.250 0.003
Ni 0.983 0.250 0.696
Ir 0.129 0.250 0.372
Ir 0.371 0.750 0.872
Ir 0.629 0.250 0.128
Ir 0.871 0.750 0.628


Entry 6:
Material: TbNi2Ir
Method: DFT, PBE
State: optimized geometry

## Properties
- E_tot (eV/atom) = -6.225
- symmetry = Cmmm
- formation energy (meV per atom) = 38

Unit cell a=4.087 b=4.087 c=4.324 alpha=90.00 beta=90.00 gamma=99.73
Fractional coordinates of all 4 atoms:
Tb 0.000 0.000 0.000
Ni 0.310 0.690 0.500
Ni 0.690 0.310 0.500
Ir 0.500 0.500 0.000


Entry 7:
Material: Tb8Ni2Ir
Method: DFT, PBE
State: optimized geometry

## Properties
- E_tot (eV/atom) = -5.453
- symmetry = Cm
- formation energy (meV per atom) = -229

Unit cell a=7.481 b=7.481 c=6.039 alpha=100.27 beta=100.27 gamma=113.64
Fractional coordinates of all 11 atoms:
Tb 0.000 0.000 0.000
Tb 0.018 0.278 0.568
Tb 0.146 0.569 0.178
Tb 0.278 0.018 0.568
Tb 0.438 0.700 0.770
Tb 0.569 0.146 0.178
Tb 0.700 0.438 0.770
Tb 0.718 0.718 0.360
Ni 0.051 0.670 0.679
Ni 0.670 0.051 0.679
Ir 0.359 0.359 0.349


Entry 8:
Material: Tb3Ni8Ir
Method: DFT, PBE
State: optimized geometry

## Properties
- E_tot (eV/atom) = -6.092
- symmetry = R3m
- formation energy (meV per atom) = -342

Unit cell a=8.655 b=8.655 c=8.655 alpha=33.50 beta=33.50 gamma=33.50
Fractional coordinates of all 12 atoms:
Tb 0.000 0.000 0.000
Tb 0.131 0.131 0.131
Tb 0.611 0.611 0.611
Ni 0.058 0.058 0.564
Ni 0.058 0.564 0.058
Ni 0.064 0.562 0.562
Ni 0.311 0.311 0.311
Ni 0.562 0.064 0.562
Ni 0.562 0.562 0.064
Ni 0.564 0.058 0.058
Ni 0.811 0.811 0.811
Ir 0.490 0.490 0.490


Entry 9:
Material: Tb4NiIr2
Method: DFT, PBE
State: optimized geometry

## Properties
- E_tot (eV/atom) = -6.679
- symmetry = R-3m
- formation energy (meV per atom) = -675

Unit cell a=8.374 b=8.374 c=8.374 alpha=33.49 beta=33.49 gamma=33.49
Fractional coordinates of all 7 atoms:
Tb 0.124 0.124 0.124
Tb 0.375 0.375 0.375
Tb 0.625 0.625 0.625
Tb 0.876 0.876 0.876
Ni 0.500 0.500 0.500
Ir 0.249 0.249 0.249
Ir 0.751 0.751 0.751


Entry 10:
Material: Tb2Ni2Ir
Method: DFT, PBE
State: optimized geometry

## Properties
- E_tot (eV/atom) = -6.419
- symmetry = P4/mbm
- formation energy (meV per atom) = -482

Unit cell a=6.778 b=6.778 c=3.947 alpha=90.00 beta=90.00 gamma=90.00
Fractional coordinates of all 10 atoms:
Tb 0.185 0.315 0.000
Tb 0.315 0.815 0.000
Tb 0.685 0.185 0.000
Tb 0.815 0.685 0.000
Ni 0.122 0.622 0.500
Ni 0.378 0.122 0.500
Ni 0.622 0.878 0.500
Ni 0.878 0.378 0.500
Ir 0.000 0.000 0.500
Ir 0.500 0.500 0.500


Entry 11:
Material: TbNi3Ir2
Method: DFT, PBE
State: optimized geometry

## Properties
- E_tot (eV/atom) = -6.877
- symmetry = Cmcm
- formation energy (meV per atom) = -261

Unit cell a=6.139 b=6.139 c=5.103 alpha=90.00 beta=90.00 gamma=84.48
Fractional coordinates of all 12 atoms:
Tb 0.198 0.802 0.750
Tb 0.802 0.198 0.250
Ni 0.055 0.577 0.250
Ni 0.423 0.945 0.250
Ni 0.450 0.550 0.250
Ni 0.550 0.450 0.750
Ni 0.577 0.055 0.750
Ni 0.945 0.423 0.750
Ir 0.267 0.267 0.000
Ir 0.267 0.267 0.500
Ir 0.733 0.733 0.000
Ir 0.733 0.733 0.500


Entry 12:
Material: Tb6Ni2Ir
Method: DFT, PBE
State: optimized geometry

## Properties
- E_tot (eV/atom) = -5.766
- symmetry = Immm
- formation energy (meV per atom) = -410

Unit cell a=8.233 b=8.233 c=8.233 alpha=110.27 beta=109.08 gamma=109.07
Fractional coordinates of all 18 atoms:
Tb 0.060 0.817 0.243
Tb 0.170 0.309 0.480
Tb 0.170 0.691 0.861
Tb 0.326 0.088 0.762
Tb 0.326 0.564 0.238
Tb 0.425 0.183 0.243
Tb 0.575 0.817 0.757
Tb 0.674 0.436 0.762
Tb 0.674 0.912 0.238
Tb 0.830 0.309 0.139
Tb 0.830 0.691 0.520
Tb 0.940 0.183 0.757
Ni 0.164 0.664 0.500
Ni 0.381 0.500 0.881
Ni 0.619 0.500 0.119
Ni 0.836 0.336 0.500
Ir 0.000 0.000 0.000
Ir 0.500 0.000 0.500